MnVNiHO: optimized geometry, GGA+U.

Properties
Energy (eV for the cell shown): -53.374
Relative energy among the computed polymorphs (meV/atom): 66
Symmetry: No. 44

Cell lengths 3.425, 3.160, 11.376 Å; angles 90.00, 90.00, 90.00 degrees
Positions (direct):
Mn (0.000, 0.000, 0.169)
O (0.500, 0.000, 0.064)
V (0.500, 0.500, 0.942)
H (0.000, 0.500, 0.876)
H (0.500, 0.000, 0.376)
Mn (0.500, 0.500, 0.669)
Ni (0.000, 0.000, 0.806)
Ni (0.500, 0.500, 0.306)
O (0.000, 0.500, 0.564)
V (0.000, 0.000, 0.442)